Entry from Alexandria: LiI2O2 after structural relaxation (PBEsol).

CIF file:
```
data_LiI2O2
_chemical_formula_sum 'Li1 I2 O2'
_space_group_name_H-M_alt 'P 1'
_space_group_IT_number 1
_cell_length_a 4.050
_cell_length_b 4.764
_cell_length_c 4.764
_cell_angle_alpha 90.00
_cell_angle_beta 90.00
_cell_angle_gamma 90.00
loop_
_space_group_symop_operation_xyz
'x,y,z'
loop_
_atom_site_label
_atom_site_fract_x
_atom_site_fract_y
_atom_site_fract_z
I1 0.000 0.000 0.500
I2 0.000 0.500 0.000
O1 0.000 0.000 0.000
O2 0.500 0.000 0.000
Li1 0.500 0.500 0.500
```

Computed properties:
* space-group type: P4/mmm, No. 123
* E_tot: -14.963 eV/cell
* E_form (uncorrected): 0.207 eV per atom